[1]
VASP calculation (PBE) on a relaxed structure of TlCuTe2Se4.

a = 7.896 Å, b = 7.896 Å, c = 6.749 Å
α = 90.00°, β = 90.00°, γ = 90.00°
Space group I-42m (No. 121)
Inequivalent atoms, fractional coordinates:
Tl1 0.000 0.000 0.000 [2 per cell]
Cu1 0.000 0.000 0.500 [2 per cell]
Te1 0.000 0.500 0.250 [4 per cell]
Se1 0.178 0.178 0.718 [8 per cell]

## Properties
Formation energy from raw total energies = -0.04 eV per atom
Volume = 420.7 Å³/cell
Total magnetization = 0.000 μB per formula unit
Crystal system = tetragonal
Final energy = -3.379 eV per atom

[2]
VASP calculation (PBE) on a relaxed structure of Y2TaZnRe.

a = 5.148 Å, b = 5.148 Å, c = 4.647 Å
α = 90.00°, β = 90.00°, γ = 90.00°
Space group P4/mmm (No. 123)
Inequivalent atoms, fractional coordinates:
Y1 0.000 0.500 0.000 [2 per cell]
Ta1 0.000 0.000 0.500 [1 per cell]
Zn1 0.500 0.500 0.000 [1 per cell]
Re1 0.500 0.500 0.500 [1 per cell]

## Properties
Volume = 123.2 Å³/cell
Total magnetization = 1.355 μB per formula unit
Energy relative to the elements = 5.86 eV per formula unit
Crystal system = tetragonal
Final energy = -6.529 eV per atom

[3]
VASP calculation (PBE) on a relaxed structure of P2IrPt.

a = 6.158 Å, b = 6.235 Å, c = 2.987 Å
α = 90.00°, β = 90.00°, γ = 90.00°
Space group Cmmm (No. 65)
Inequivalent atoms, fractional coordinates:
P1 0.250 0.250 0.000 [4 per cell]
Ir1 0.000 0.000 0.500 [2 per cell]
Pt1 0.000 0.500 0.500 [2 per cell]

## Properties
Volume = 114.7 Å³/cell
Total magnetization = 0.000 μB per formula unit
Energy relative to the elements = 0.67 eV per formula unit
Crystal system = orthorhombic
E above lowest polymorph = 2.21 eV per formula unit
Final energy = -6.264 eV per atom

[4]
VASP calculation (PBE) on a relaxed structure of SmDy2H.

a = 3.6096 Å, b = 3.6096 Å, c = 25.6319 Å
α = 90.00°, β = 90.00°, γ = 120.00°
Space group R-3m (No. 166, hexagonal axes)
Inequivalent atoms, fractional coordinates:
Sm1 0.0000 0.0000 0.0000 [3 per cell]
Dy1 0.0000 0.0000 0.2203 [6 per cell]
H1 0.0000 0.0000 0.5000 [3 per cell]

## Properties
Volume = 289.2 Å³/cell
Total magnetization = 0.000 μB per formula unit
Crystal system = trigonal
E above lowest polymorph = 0.00 eV per formula unit
Final energy = -4.510 eV per atom